[1]
Density functional theory data (GGA-PBE) for an optimized crystal structure of TlCu2W.

Output
The calculation puts the energy of formation from the pure elements at 0.84 eV/atom. The space group is Fm-3m. For the offset from the most stable computed form, the calculation gives 0.332 eV/atom.

Cell and atoms, written as extended XYZ:
```
4
Lattice="0.0000 3.1622 3.1622 3.1622 0.0000 3.1622 3.1622 3.1622 0.0000" Properties=species:S:1:pos:R:3 pbc="T T T"
Tl 0.0000 0.0000 0.0000
Cu 1.5811 1.5811 1.5811
Cu 4.7434 4.7434 4.7434
W 3.1622 3.1622 3.1622
```



[2]
Density functional theory data (GGA-PBE) for an optimized crystal structure of TlCu2W.

Output
The calculation puts the energy of formation from the pure elements at 0.92 eV/atom. The space group is F-43m. For the offset from the most stable computed form, the calculation gives 0.409 eV/atom.

Cell and atoms, written as extended XYZ:
```
4
Lattice="0.0000 3.1959 3.1959 3.1959 0.0000 3.1959 3.1959 3.1959 0.0000" Properties=species:S:1:pos:R:3 pbc="T T T"
Tl 0.0000 0.0000 0.0000
Cu 3.1959 3.1959 3.1959
Cu 4.7938 4.7938 4.7938
W 1.5979 1.5979 1.5979
```



[3]
Density functional theory data (GGA-PBE) for an optimized crystal structure of TlCu2W.

Output
The calculation puts the energy of formation from the pure elements at 0.76 eV/atom. The space group is Pmmm. For the offset from the most stable computed form, the calculation gives 0.249 eV/atom.

Cell and atoms, written as extended XYZ:
```
4
Lattice="3.0578 0.0000 0.0000 0.0000 4.5084 0.0000 0.0000 0.0000 4.7089" Properties=species:S:1:pos:R:3 pbc="T T T"
Tl 0.0000 0.0000 0.0000
Cu 0.0000 2.2542 2.3545
Cu 1.5289 2.2542 0.0000
W 1.5289 0.0000 2.3545
```



[4]
Density functional theory data (GGA-PBE) for an optimized crystal structure of TlCu2W.

Output
The calculation puts the energy of formation from the pure elements at 0.65 eV/atom. The space group is Pm. For the offset from the most stable computed form, the calculation gives 0.140 eV/atom.

Cell and atoms, written as extended XYZ:
```
4
Lattice="2.8285 0.0000 0.0000 0.0000 4.2024 0.0000 -1.4074 0.0000 5.3544" Properties=species:S:1:pos:R:3 pbc="T T T"
Tl 0.0000 0.0000 0.0000
Cu -0.0032 0.0000 2.7272
Cu 0.0052 2.1012 4.0725
W 1.4163 2.1012 1.7114
```